This record from the Alexandria database describes a relaxed Rb3VCd2F9 crystal. The functional is GGA+U.

```
15
Lattice="6.249 0.000 0.000 -3.125 5.412 0.000 0.000 0.000 7.657" Properties=species:S:1:pos:R:3 pbc="T T T"
Rb 0.000 0.000 0.000
Rb 0.000 3.608 5.110
Rb 3.125 1.804 2.547
V 0.000 0.000 3.829
Cd 0.000 3.608 1.338
Cd 3.125 1.804 6.319
F -1.562 2.706 0.000
F 0.000 1.746 2.609
F -1.612 4.539 2.609
F 1.512 0.873 5.049
F 3.125 0.000 0.000
F 1.562 2.706 0.000
F 1.612 4.539 2.609
F 4.737 0.873 5.049
F 3.125 3.666 5.049
```

Output
Uncorrected energy, eV/atom: -4.4907